Record 1
Compound: KSr2W
Source: Alexandria via LeMat-Bulk
Functional: GGA-PBEsol
Structure: relaxed

Computed properties:
Total DFT energy (no corrections) ... -3.301 eV/atom
Space-group type ... P4/mmm, No. 123
Formation energy ... 1.35 eV per atom
DOS(E_F) ... 3.59 states/eV/f.u.

abc: 5.7641 5.7641 4.1221
angles: 90.00 90.00 90.00
Last column: nearest neighbours and their distance in Å.
Element x y z (fractional)
1 K 0.0000 0.0000 0.0000  8 Sr 3.54
2 Sr 0.0000 0.5000 0.5000  4 W 3.54, 4 K 3.54
3 Sr 0.5000 0.0000 0.5000  4 W 3.54, 4 K 3.54
4 W 0.5000 0.5000 0.0000  8 Sr 3.54


Record 2
Compound: PmEuZn2
Source: Alexandria via LeMat-Bulk
Functional: GGA-PBEsol
Structure: relaxed

Computed properties:
Total DFT energy (no corrections) ... -4.992 eV/atom
Space-group type ... Fm-3m, No. 225
Formation energy ... -0.28 eV per atom
DOS(E_F) ... 5.37 states/eV/f.u.

abc: 5.1126 5.1126 5.1126
angles: 60.00 60.00 60.00
Last column: nearest neighbours and their distance in Å.
Element x y z (fractional)
1 Pm 0.0000 0.0000 0.0000  8 Zn 3.13
2 Eu 0.5000 0.5000 0.5000  8 Zn 3.13
3 Zn 0.2500 0.2500 0.2500  4 Eu 3.13, 4 Pm 3.13
4 Zn 0.7500 0.7500 0.7500  4 Pm 3.13, 4 Eu 3.13


Record 3
Compound: Li2ClF
Source: Alexandria via LeMat-Bulk
Functional: GGA-PBEsol
Structure: relaxed

Computed properties:
Total DFT energy (no corrections) ... -4.315 eV/atom
Space-group type ... I-42d, No. 122
ΔE_f (raw) ... -2.348 eV/atom
DOS(E_F) ... 0.00 states/eV/f.u.

abc: 5.8552 5.8552 5.8552
angles: 130.26 130.26 73.00
Last column: nearest neighbours and their distance in Å.
Element x y z (fractional)
1 Li 0.0440 0.6250 0.9190  2 F 1.90
2 Li 0.3750 0.2940 0.4190  2 F 1.90
3 Li 0.7060 0.1250 0.0810  2 F 1.90
4 Li 0.8750 0.9560 0.5810  2 F 1.90
5 Cl 0.2500 0.7500 0.5000  4 Li 2.36
6 Cl 0.5000 0.5000 0.0000  4 Li 2.36
7 F 0.0000 0.0000 0.0000  4 Li 1.90
8 F 0.7500 0.2500 0.5000  4 Li 1.90


Record 4
Compound: MgBe2Zn
Source: Alexandria via LeMat-Bulk
Functional: GGA-PBEsol
Structure: relaxed

Computed properties:
Total DFT energy (no corrections) ... -2.420 eV/atom
Space-group type ... C2/m, No. 12
Formation energy ... 0.41 eV per atom
DOS(E_F) ... 0.88 states/eV/f.u.

abc: 4.9564 4.9564 2.6365
angles: 104.04 104.04 116.34
Last column: nearest neighbours and their distance in Å.
Element x y z (fractional)
1 Mg 0.0000 0.0000 0.0000  4 Be 2.51, 4 Zn 2.61-2.73, 2 Mg 2.64
2 Be 0.0000 0.5000 0.5000  2 Mg 2.51, 2 Zn 2.51, 6 Be 2.61-2.73
3 Be 0.5000 0.0000 0.5000  2 Mg 2.51, 2 Zn 2.51, 6 Be 2.61-2.73
4 Zn 0.5000 0.5000 0.0000  4 Be 2.51, 4 Mg 2.61-2.73, 2 Zn 2.64